Entry from the Open Quantum Materials Database: Na2Co2O5 after structural relaxation (GGA+U).

Cell lengths 3.9906, 3.9906, 5.9705 Å; angles 90.00, 90.00, 90.00 degrees
Fractional positions:
Na (0.0000, 0.0000, 0.1656)
Na (0.0000, 0.0000, 0.8344)
Co (0.5000, 0.5000, 0.0000)
Co (0.5000, 0.5000, 0.5000)
O (0.0000, 0.0000, 0.5000)
O (0.0000, 0.5000, 0.2436)
O (0.0000, 0.5000, 0.7564)
O (0.5000, 0.0000, 0.2436)
O (0.5000, 0.0000, 0.7564)

Computed properties:
- offset from the most stable computed form (meV/atom) = 1017.4
- calculated total energy (eV/cell) = -35.42
- total magnetization (μB/f.u.) = 1.0